# 1
Entry from Alexandria via LeMat-Bulk: crystalline TiNbC2 at its relaxed geometry (PBE).

Cell lengths 5.406, 5.441, 3.119 Å; angles 90.00, 90.00, 90.00 degrees
Fractional coordinates of all 8 atoms:
Ti: 0.000 0.000 0.000
Ti: 0.500 0.500 0.500
Nb: 0.000 0.500 0.000
Nb: 0.500 0.000 0.500
C: 0.167 0.248 0.500
C: 0.333 0.748 0.000
C: 0.667 0.252 0.000
C: 0.833 0.752 0.500

Properties
Offset from the most stable computed form in eV/f.u.: 1.65
Formation enthalpy at 0 K in eV per atom: -0.258
Density in g/cm3: 5.96
Total moment in μB/cell: 0.00

# 2
Entry from Alexandria via LeMat-Bulk: crystalline Ti2NbC2 at its relaxed geometry (PBE).

Cell lengths 5.353, 5.353, 5.382 Å; angles 99.38, 99.38, 119.81 degrees
Fractional coordinates of all 10 atoms:
Ti: 0.069 0.931 0.750
Ti: 0.249 0.751 0.250
Ti: 0.751 0.249 0.750
Ti: 0.931 0.069 0.250
Nb: 0.430 0.570 0.750
Nb: 0.570 0.430 0.250
C: 0.159 0.332 0.002
C: 0.332 0.159 0.502
C: 0.668 0.841 0.498
C: 0.841 0.668 0.998

Properties
Offset from the most stable computed form in eV/f.u.: 0.00
Formation enthalpy at 0 K in eV per atom: -0.655
Density in g/cm3: 5.58
Total moment in μB/cell: 0.00

# 3
Entry from Alexandria via LeMat-Bulk: crystalline TiNb3C4 at its relaxed geometry (PBE).

Cell lengths 6.298, 8.959, 3.160 Å; angles 90.00, 90.00, 90.00 degrees
Fractional coordinates of all 16 atoms:
Ti: 0.000 0.000 0.000
Ti: 0.500 0.500 0.000
Nb: 0.000 0.500 0.000
Nb: 0.250 0.250 0.500
Nb: 0.250 0.750 0.500
Nb: 0.500 0.000 0.000
Nb: 0.750 0.250 0.500
Nb: 0.750 0.750 0.500
C: 0.000 0.247 0.000
C: 0.000 0.753 0.000
C: 0.245 0.000 0.500
C: 0.255 0.500 0.500
C: 0.500 0.253 0.000
C: 0.500 0.747 0.000
C: 0.745 0.500 0.500
C: 0.755 0.000 0.500

Properties
Formation enthalpy at 0 K in eV per atom: -0.581
Density in g/cm3: 6.98
Total moment in μB/cell: 0.00

# 4
Entry from Alexandria via LeMat-Bulk: crystalline TiNbC2 at its relaxed geometry (PBE).

Cell lengths 4.799, 4.799, 9.587 Å; angles 90.00, 90.00, 90.00 degrees
Fractional coordinates of all 16 atoms:
Ti: 0.000 0.000 0.000
Ti: 0.000 0.500 0.250
Ti: 0.500 0.000 0.750
Ti: 0.500 0.500 0.500
Nb: 0.000 0.000 0.500
Nb: 0.000 0.500 0.750
Nb: 0.500 0.000 0.250
Nb: 0.500 0.500 0.000
C: 0.247 0.250 0.125
C: 0.250 0.747 0.375
C: 0.250 0.753 0.875
C: 0.253 0.250 0.625
C: 0.747 0.750 0.625
C: 0.750 0.247 0.875
C: 0.750 0.253 0.375
C: 0.753 0.750 0.125

Properties
Offset from the most stable computed form in eV/f.u.: 2.46
Formation enthalpy at 0 K in eV per atom: -0.056
Density in g/cm3: 4.96
Total moment in μB/cell: 0.00

# 5
Entry from Alexandria via LeMat-Bulk: crystalline Ti3NbC2 at its relaxed geometry (PBE).

Cell lengths 6.035, 6.035, 6.035 Å; angles 62.06, 62.06, 62.06 degrees
Fractional coordinates of all 12 atoms:
Ti: 0.247 0.745 0.745
Ti: 0.255 0.255 0.753
Ti: 0.255 0.753 0.255
Ti: 0.745 0.247 0.745
Ti: 0.745 0.745 0.247
Ti: 0.753 0.255 0.255
Nb: 0.248 0.248 0.248
Nb: 0.752 0.752 0.752
C: 0.000 0.000 0.500
C: 0.000 0.500 0.000
C: 0.500 0.000 0.000
C: 0.500 0.500 0.500

Properties
Formation enthalpy at 0 K in eV per atom: -0.578
Density in g/cm3: 5.32
Total moment in μB/cell: 0.00

# 6
Entry from Alexandria via LeMat-Bulk: crystalline TiNbC2 at its relaxed geometry (PBE).

Cell lengths 5.525, 5.525, 5.525 Å; angles 90.00, 90.00, 90.00 degrees
Fractional coordinates of all 16 atoms:
Ti: 0.000 0.000 0.000
Ti: 0.000 0.500 0.500
Ti: 0.500 0.000 0.500
Ti: 0.500 0.500 0.000
Nb: 0.000 0.000 0.500
Nb: 0.000 0.500 0.000
Nb: 0.500 0.000 0.000
Nb: 0.500 0.500 0.500
C: 0.250 0.250 0.250
C: 0.250 0.250 0.750
C: 0.250 0.750 0.250
C: 0.250 0.750 0.750
C: 0.750 0.250 0.250
C: 0.750 0.250 0.750
C: 0.750 0.750 0.250
C: 0.750 0.750 0.750

Properties
Offset from the most stable computed form in eV/f.u.: 4.36
Formation enthalpy at 0 K in eV per atom: 0.420
Density in g/cm3: 6.49
Total moment in μB/cell: 0.00

# 7
Entry from Alexandria via LeMat-Bulk: crystalline Ti5NbC5 at its relaxed geometry (PBE).

Cell lengths 5.349, 5.349, 6.185 Å; angles 106.85, 106.85, 48.20 degrees
Fractional coordinates of all 11 atoms:
Ti: 0.000 0.000 0.000
Ti: 0.322 0.322 0.169
Ti: 0.329 0.329 0.654
Ti: 0.671 0.671 0.346
Ti: 0.678 0.678 0.831
Nb: 0.000 0.000 0.500
C: 0.169 0.169 0.329
C: 0.169 0.169 0.840
C: 0.500 0.500 0.500
C: 0.831 0.831 0.160
C: 0.831 0.831 0.671

Properties
Formation enthalpy at 0 K in eV per atom: -0.755
Density in g/cm3: 5.21
Total moment in μB/cell: 0.00

# 8
Entry from Alexandria via LeMat-Bulk: crystalline Ti2NbC at its relaxed geometry (PBE).

Cell lengths 3.013, 3.013, 22.135 Å; angles 90.00, 90.00, 120.00 degrees
Fractional coordinates of all 12 atoms:
Ti: 0.000 0.000 0.221
Ti: 0.000 0.000 0.779
Ti: 0.333 0.667 0.446
Ti: 0.333 0.667 0.888
Ti: 0.667 0.333 0.112
Ti: 0.667 0.333 0.554
Nb: 0.000 0.000 0.000
Nb: 0.333 0.667 0.667
Nb: 0.667 0.333 0.333
C: 0.000 0.000 0.500
C: 0.333 0.667 0.167
C: 0.667 0.333 0.833

Properties
Formation enthalpy at 0 K in eV per atom: -0.395
Density in g/cm3: 5.74
Total moment in μB/cell: 0.00

# 9
Entry from Alexandria via LeMat-Bulk: crystalline Ti2NbC3 at its relaxed geometry (PBE).

Cell lengths 6.224, 4.401, 9.327 Å; angles 90.00, 90.00, 90.00 degrees
Fractional coordinates of all 24 atoms:
Ti: 0.124 0.250 0.083
Ti: 0.124 0.250 0.752
Ti: 0.376 0.750 0.252
Ti: 0.376 0.750 0.583
Ti: 0.624 0.250 0.417
Ti: 0.624 0.250 0.748
Ti: 0.876 0.750 0.248
Ti: 0.876 0.750 0.917
Nb: 0.126 0.250 0.415
Nb: 0.374 0.750 0.915
Nb: 0.626 0.250 0.085
Nb: 0.874 0.750 0.585
C: 0.122 0.750 0.085
C: 0.124 0.750 0.749
C: 0.130 0.750 0.415
C: 0.370 0.250 0.915
C: 0.376 0.250 0.249
C: 0.378 0.250 0.585
C: 0.622 0.750 0.415
C: 0.624 0.750 0.751
C: 0.630 0.750 0.085
C: 0.870 0.250 0.585
C: 0.876 0.250 0.251
C: 0.878 0.250 0.915

Properties
Formation enthalpy at 0 K in eV per atom: -0.725
Density in g/cm3: 5.84
Total moment in μB/cell: 0.00

# 10
Entry from Alexandria via LeMat-Bulk: crystalline Ti2NbC2 at its relaxed geometry (PBE).

Cell lengths 5.607, 5.607, 4.564 Å; angles 108.49, 108.49, 96.79 degrees
Fractional coordinates of all 10 atoms:
Ti: 0.069 0.283 0.013
Ti: 0.283 0.069 0.513
Ti: 0.717 0.931 0.487
Ti: 0.931 0.717 0.987
Nb: 0.360 0.640 0.750
Nb: 0.640 0.360 0.250
C: 0.104 0.896 0.750
C: 0.337 0.663 0.250
C: 0.663 0.337 0.750
C: 0.896 0.104 0.250

Properties
Offset from the most stable computed form in eV/f.u.: 2.46
Formation enthalpy at 0 K in eV per atom: -0.163
Density in g/cm3: 5.64
Total moment in μB/cell: 0.00

# 11
Entry from Alexandria via LeMat-Bulk: crystalline Ti2NbC at its relaxed geometry (PBE).

Cell lengths 7.347, 7.347, 4.464 Å; angles 90.00, 90.00, 90.00 degrees
Fractional coordinates of all 16 atoms:
Ti: 0.135 0.250 0.125
Ti: 0.250 0.635 0.375
Ti: 0.250 0.865 0.875
Ti: 0.365 0.250 0.625
Ti: 0.635 0.750 0.625
Ti: 0.750 0.135 0.875
Ti: 0.750 0.365 0.375
Ti: 0.865 0.750 0.125
Nb: 0.000 0.000 0.500
Nb: 0.000 0.500 0.750
Nb: 0.500 0.000 0.250
Nb: 0.500 0.500 0.000
C: 0.000 0.000 0.000
C: 0.000 0.500 0.250
C: 0.500 0.000 0.750
C: 0.500 0.500 0.500

Properties
Formation enthalpy at 0 K in eV per atom: 0.045
Density in g/cm3: 5.53
Total moment in μB/cell: 0.24

# 12
Entry from Alexandria via LeMat-Bulk: crystalline Ti2NbC at its relaxed geometry (PBE).

Cell lengths 5.151, 3.063, 7.518 Å; angles 90.00, 103.78, 90.00 degrees
Fractional coordinates of all 8 atoms:
Ti: 0.000 0.000 0.000
Ti: 0.219 0.000 0.673
Ti: 0.500 0.500 0.000
Ti: 0.719 0.500 0.673
Nb: 0.108 0.500 0.337
Nb: 0.608 0.000 0.337
C: 0.109 0.500 0.837
C: 0.609 0.000 0.837

Properties
Formation enthalpy at 0 K in eV per atom: -0.419
Density in g/cm3: 5.78
Total moment in μB/cell: 0.00